## CrPbBr2 (PBE-GGA)

Data for a relaxed structure of CrPbBr2.

Cell lengths 3.581, 4.814, 12.983 Å; angles 90.00, 90.00, 90.00 degrees
Fractional positions:
Cr  0.000  0.000  0.000
Cr  0.500  0.500  0.500
Pb  0.000  0.500  0.698
Pb  0.500  0.000  0.198
Br  0.000  0.000  0.549
Br  0.000  0.500  0.341
Br  0.500  0.000  0.841
Br  0.500  0.500  0.049

Summary:
ρ in g/cm3: 6.2
Formation energy from raw total energies in eV/atom: -0.155
Relative energy among the computed polymorphs in meV/atom: 143